# ZnIr2Cl | Alexandria via LeMat-Bulk | PBE | optimized geometry
data_ZnIr2Cl
_chemical_formula_sum 'Zn4 Ir8 Cl4'
_cell_length_a 3.872
_cell_length_b 3.872
_cell_length_c 17.554
_cell_angle_alpha 90.00
_cell_angle_beta 90.00
_cell_angle_gamma 90.00
_space_group_name_H-M_alt 'I -4 2 d'
_space_group_IT_number 122
_space_group_name_Hall 'I -4 2bw'
loop_
_atom_site_label
_atom_site_fract_x
_atom_site_fract_y
_atom_site_fract_z
Zn1 0.000 0.000 0.000
Ir1 0.246 0.250 0.125
Cl1 0.000 0.000 0.500
# E_form (uncorrected) = 0.66 eV/atom
# Excess energy over the best structure of this formula in the dataset = 2.077 eV/f.u.

# BeTlPt2 | Alexandria via LeMat-Bulk | PBE | optimized geometry
data_BeTlPt2
_chemical_formula_sum 'Be3 Tl3 Pt6'
_cell_length_a 2.9678
_cell_length_b 2.9678
_cell_length_c 25.6674
_cell_angle_alpha 90.00
_cell_angle_beta 90.00
_cell_angle_gamma 120.00
_space_group_name_H-M_alt 'R -3 m'
_space_group_IT_number 166
_space_group_name_Hall '-R 3 2"'
loop_
_atom_site_label
_atom_site_fract_x
_atom_site_fract_y
_atom_site_fract_z
Be1 0.0000 0.0000 0.0000
Tl1 0.0000 0.0000 0.5000
Pt1 0.0000 0.0000 0.2698
# Formation energy = -172 meV per atom
# Excess energy over the best structure of this formula in the dataset = 0.488 eV/f.u.

# Ac5Co2Pt | Alexandria via LeMat-Bulk | PBE | optimized geometry
data_Ac5Co2Pt
_chemical_formula_sum 'Ac20 Co8 Pt4'
_cell_length_a 5.840
_cell_length_b 13.500
_cell_length_c 14.601
_cell_angle_alpha 90.00
_cell_angle_beta 90.00
_cell_angle_gamma 90.00
_space_group_name_H-M_alt 'C m c m'
_space_group_IT_number 63
_space_group_name_Hall '-C 2c 2'
loop_
_atom_site_label
_atom_site_fract_x
_atom_site_fract_y
_atom_site_fract_z
Ac1 0.000 0.049 0.116
Ac2 0.000 0.236 0.750
Ac3 0.000 0.333 0.060
Co1 0.000 0.145 0.556
Pt1 0.000 0.222 0.250
# Formation energy = -248 meV per atom

# Nd12Dy7Ho | Alexandria via LeMat-Bulk | PBE | optimized geometry
data_Nd12Dy7Ho
_chemical_formula_sum 'Nd36 Dy21 Ho3'
_cell_length_a 12.2707
_cell_length_b 12.2707
_cell_length_c 15.8279
_cell_angle_alpha 90.00
_cell_angle_beta 90.00
_cell_angle_gamma 120.00
_space_group_name_H-M_alt 'R -3'
_space_group_IT_number 148
_space_group_name_Hall '-R 3'
loop_
_atom_site_label
_atom_site_fract_x
_atom_site_fract_y
_atom_site_fract_z
Nd1 0.0216 0.4480 0.2216
Nd2 0.0588 0.5909 0.5802
Dy1 0.0000 0.0000 0.0000
Dy2 0.0545 0.1872 0.2984
Ho1 0.0000 0.0000 0.5000
# Formation energy = 228 meV per atom
# Excess energy over the best structure of this formula in the dataset = 0.000 eV/f.u.

# Tb4Sm3Tm5 | Alexandria via LeMat-Bulk | PBE | optimized geometry
data_Tb4Sm3Tm5
_chemical_formula_sum 'Tb4 Sm3 Tm5'
_cell_length_a 6.138
_cell_length_b 7.093
_cell_length_c 8.678
_cell_angle_alpha 90.00
_cell_angle_beta 89.89
_cell_angle_gamma 89.85
_space_group_name_H-M_alt 'P -1'
_space_group_IT_number 2
_space_group_name_Hall '-P 1'
loop_
_atom_site_label
_atom_site_fract_x
_atom_site_fract_y
_atom_site_fract_z
Tb1 0.168 0.000 0.332
Tb2 0.332 0.750 0.667
Sm1 0.333 0.250 0.667
Sm2 0.500 0.500 0.000
Tm1 0.001 0.750 0.000
Tm2 0.165 0.500 0.332
Tm3 0.500 0.000 0.000
# Formation energy = 19 meV per atom
# Excess energy over the best structure of this formula in the dataset = 0.000 eV/f.u.

# SrTb3In4 | Alexandria via LeMat-Bulk | PBE | optimized geometry
data_SrTb3In4
_chemical_formula_sum 'Sr2 Tb6 In8'
_cell_length_a 10.883
_cell_length_b 7.637
_cell_length_c 5.442
_cell_angle_alpha 90.00
_cell_angle_beta 90.00
_cell_angle_gamma 90.00
_space_group_name_H-M_alt 'P m m a'
_space_group_IT_number 51
_space_group_name_Hall '-P 2a 2a'
loop_
_atom_site_label
_atom_site_fract_x
_atom_site_fract_y
_atom_site_fract_z
Sr1 0.000 0.000 0.000
Tb1 0.000 0.500 0.000
Tb2 0.250 0.000 0.497
Tb3 0.250 0.500 0.496
In1 0.000 0.260 0.500
In2 0.250 0.260 0.995
# Formation energy = -431 meV per atom

# Tc2NiTe | Alexandria via LeMat-Bulk | PBE | optimized geometry
data_Tc2NiTe
_chemical_formula_sum 'Tc2 Ni1 Te1'
_cell_length_a 3.250
_cell_length_b 3.276
_cell_length_c 5.880
_cell_angle_alpha 90.00
_cell_angle_beta 90.00
_cell_angle_gamma 90.00
_space_group_name_H-M_alt 'P m m 2'
_space_group_IT_number 25
_space_group_name_Hall 'P 2 -2'
loop_
_atom_site_label
_atom_site_fract_x
_atom_site_fract_y
_atom_site_fract_z
Tc1 0.000 0.000 0.000
Tc2 0.500 0.500 0.224
Ni1 0.000 0.000 0.454
Te1 0.500 0.500 0.685
# E_form (uncorrected) = 0.26 eV/atom

# In2HgH6 | Alexandria via LeMat-Bulk | PBE | optimized geometry
data_In2HgH6
_chemical_formula_sum 'In4 Hg2 H12'
_cell_length_a 9.284
_cell_length_b 6.315
_cell_length_c 4.946
_cell_angle_alpha 90.00
_cell_angle_beta 118.97
_cell_angle_gamma 90.00
_space_group_name_H-M_alt 'C 1 2/m 1'
_space_group_IT_number 12
_space_group_name_Hall '-C 2y'
loop_
_atom_site_label
_atom_site_fract_x
_atom_site_fract_y
_atom_site_fract_z
In1 0.147 0.000 0.426
Hg1 0.000 0.500 0.000
H1 0.000 0.205 0.500
H2 0.160 0.253 0.198
# E_tot = -42.5 eV per cell

# HoTlPb6 | Alexandria via LeMat-Bulk | PBE | optimized geometry
data_HoTlPb6
_chemical_formula_sum 'Ho1 Tl1 Pb6'
_cell_length_a 4.882
_cell_length_b 4.882
_cell_length_c 10.156
_cell_angle_alpha 90.00
_cell_angle_beta 90.00
_cell_angle_gamma 90.00
_space_group_name_H-M_alt 'P 4/m m m'
_space_group_IT_number 123
_space_group_name_Hall '-P 4 2'
loop_
_atom_site_label
_atom_site_fract_x
_atom_site_fract_y
_atom_site_fract_z
Ho1 0.000 0.000 0.000
Tl1 0.000 0.000 0.500
Pb1 0.000 0.500 0.244
Pb2 0.500 0.500 0.000
Pb3 0.500 0.500 0.500
# Formation energy = -103 meV per atom

# La5TbSn6 | Alexandria via LeMat-Bulk | PBE | optimized geometry
data_La5TbSn6
_chemical_formula_sum 'La10 Tb2 Sn12'
_cell_length_a 5.080
_cell_length_b 9.139
_cell_length_c 15.238
_cell_angle_alpha 90.00
_cell_angle_beta 90.00
_cell_angle_gamma 90.00
_space_group_name_H-M_alt 'I m m m'
_space_group_IT_number 71
_space_group_name_Hall '-I 2 2'
loop_
_atom_site_label
_atom_site_fract_x
_atom_site_fract_y
_atom_site_fract_z
La1 0.000 0.000 0.000
La2 0.000 0.000 0.334
La3 0.000 0.500 0.333
Tb1 0.000 0.500 0.000
Sn1 0.000 0.245 0.500
Sn2 0.000 0.253 0.163
# Formation energy = -718 meV per atom

# Ac2SnAu | Alexandria via LeMat-Bulk | PBE | optimized geometry
data_Ac2SnAu
_chemical_formula_sum 'Ac4 Sn2 Au2'
_cell_length_a 6.622
_cell_length_b 4.757
_cell_length_c 9.110
_cell_angle_alpha 90.00
_cell_angle_beta 110.63
_cell_angle_gamma 90.00
_space_group_name_H-M_alt 'P 1 21/m 1'
_space_group_IT_number 11
_space_group_name_Hall '-P 2yb'
loop_
_atom_site_label
_atom_site_fract_x
_atom_site_fract_y
_atom_site_fract_z
Ac1 0.190 0.250 0.418
Ac2 0.277 0.750 0.060
Sn1 0.378 0.750 0.707
Au1 0.132 0.250 0.792
# Formation energy = -734 meV per atom

# Ce2SmMoN5 | Alexandria via LeMat-Bulk | PBE | optimized geometry
data_Ce2SmMoN5
_chemical_formula_sum 'Ce8 Sm4 Mo4 N20'
_cell_length_a 6.662
_cell_length_b 6.662
_cell_length_c 11.610
_cell_angle_alpha 90.00
_cell_angle_beta 90.00
_cell_angle_gamma 90.00
_space_group_name_H-M_alt 'I 4/m c m'
_space_group_IT_number 140
_space_group_name_Hall '-I 4 2c'
loop_
_atom_site_label
_atom_site_fract_x
_atom_site_fract_y
_atom_site_fract_z
Ce1 0.172 0.328 0.000
Sm1 0.000 0.000 0.250
Mo1 0.000 0.500 0.250
N1 0.000 0.000 0.000
N2 0.155 0.345 0.353
# E_form (uncorrected) = -1.14 eV/atom

# DyZr2PaAs4 | Alexandria via LeMat-Bulk | PBE | optimized geometry
data_DyZr2PaAs4
_chemical_formula_sum 'Dy1 Zr2 Pa1 As4'
_cell_length_a 6.870
_cell_length_b 3.999
_cell_length_c 6.906
_cell_angle_alpha 90.00
_cell_angle_beta 109.61
_cell_angle_gamma 90.00
_space_group_name_H-M_alt 'P 1 2/m 1'
_space_group_IT_number 10
_space_group_name_Hall '-P 2y'
loop_
_atom_site_label
_atom_site_fract_x
_atom_site_fract_y
_atom_site_fract_z
Dy1 0.000 0.000 0.000
Zr1 0.500 0.000 0.500
Zr2 0.500 0.500 0.000
Pa1 0.000 0.500 0.500
As1 0.262 0.500 0.255
As2 0.263 0.000 0.754
# Formation energy = -1216 meV per atom

# Er2Ag3Sn | Alexandria via LeMat-Bulk | PBE | optimized geometry
data_Er2Ag3Sn
_chemical_formula_sum 'Er16 Ag24 Sn8'
_cell_length_a 6.810
_cell_length_b 9.567
_cell_length_c 16.636
_cell_angle_alpha 90.00
_cell_angle_beta 90.00
_cell_angle_gamma 90.00
_space_group_name_H-M_alt 'F m m m'
_space_group_IT_number 69
_space_group_name_Hall '-F 2 2'
loop_
_atom_site_label
_atom_site_fract_x
_atom_site_fract_y
_atom_site_fract_z
Er1 0.243 0.000 0.000
Er2 0.250 0.250 0.250
Ag1 0.000 0.000 0.166
Ag2 0.000 0.248 0.083
Sn1 0.000 0.000 0.335
# Formation energy = -363 meV per atom

# Ta2CoTc | Alexandria via LeMat-Bulk | PBE | optimized geometry
data_Ta2CoTc
_chemical_formula_sum 'Ta2 Co1 Tc1'
_cell_length_a 4.423
_cell_length_b 4.423
_cell_length_c 3.164
_cell_angle_alpha 90.00
_cell_angle_beta 90.00
_cell_angle_gamma 90.00
_space_group_name_H-M_alt 'P 4/m m m'
_space_group_IT_number 123
_space_group_name_Hall '-P 4 2'
loop_
_atom_site_label
_atom_site_fract_x
_atom_site_fract_y
_atom_site_fract_z
Ta1 0.000 0.500 0.000
Co1 0.000 0.000 0.500
Tc1 0.500 0.500 0.500
# Formation energy = -265 meV per atom
# Excess energy over the best structure of this formula in the dataset = 0.052 eV/f.u.

# CsNiIN2 | Alexandria via LeMat-Bulk | PBE | optimized geometry
data_CsNiIN2
_chemical_formula_sum 'Cs1 Ni1 I1 N2'
_cell_length_a 4.423
_cell_length_b 4.423
_cell_length_c 7.630
_cell_angle_alpha 90.00
_cell_angle_beta 90.00
_cell_angle_gamma 90.00
_space_group_name_H-M_alt 'P 4/m m m'
_space_group_IT_number 123
_space_group_name_Hall '-P 4 2'
loop_
_atom_site_label
_atom_site_fract_x
_atom_site_fract_y
_atom_site_fract_z
Cs1 0.000 0.000 0.000
Ni1 0.500 0.500 0.500
I1 0.000 0.000 0.500
N1 0.000 0.500 0.000
# E_form (uncorrected) = 2.40 eV/atom
# Excess energy over the best structure of this formula in the dataset = 4.868 eV/f.u.

# V4CoMo | Alexandria via LeMat-Bulk | PBE | optimized geometry
data_V4CoMo
_chemical_formula_sum 'V4 Co1 Mo1'
_cell_length_a 2.599
_cell_length_b 4.194
_cell_length_c 7.300
_cell_angle_alpha 90.00
_cell_angle_beta 90.14
_cell_angle_gamma 90.00
_space_group_name_H-M_alt 'P 1 2/m 1'
_space_group_IT_number 10
_space_group_name_Hall '-P 2y'
loop_
_atom_site_label
_atom_site_fract_x
_atom_site_fract_y
_atom_site_fract_z
V1 0.156 0.000 0.342
V2 0.179 0.500 0.824
Co1 0.500 0.500 0.500
Mo1 0.500 0.000 0.000
# Formation energy = -69 meV per atom
# Excess energy over the best structure of this formula in the dataset = 0.000 eV/f.u.

# ZrIr2Cl | Alexandria via LeMat-Bulk | PBE | optimized geometry
data_ZrIr2Cl
_chemical_formula_sum 'Zr1 Ir2 Cl1'
_cell_length_a 3.306
_cell_length_b 3.306
_cell_length_c 6.837
_cell_angle_alpha 90.00
_cell_angle_beta 90.00
_cell_angle_gamma 90.00
_space_group_name_H-M_alt 'P 4/m m m'
_space_group_IT_number 123
_space_group_name_Hall '-P 4 2'
loop_
_atom_site_label
_atom_site_fract_x
_atom_site_fract_y
_atom_site_fract_z
Zr1 0.000 0.000 0.000
Ir1 0.500 0.500 0.210
Cl1 0.000 0.000 0.500
# E_form (uncorrected) = 0.00 eV/atom
# Excess energy over the best structure of this formula in the dataset = 1.224 eV/f.u.